The following is a PBE calculation of a relaxed LiYErZn crystal, from Alexandria via LeMat-Bulk.

a b c (Å): 3.6062 3.6062 7.3416
angles (deg): 90.00 90.00 90.00
Last column: nearest neighbours and their distance in Å.
Space group P4mm (No. 99)
Asymmetric unit:
Li 0.0000 0.0000 0.0000 (multiplicity 1)  4 Er 3.20, 4 Y 3.24
Y 0.5000 0.5000 0.7276 (multiplicity 1)  4 Zn 3.09, 4 Li 3.24, 1 Er 3.41
Er 0.5000 0.5000 0.2626 (multiplicity 1)  4 Zn 3.05, 4 Li 3.20
Zn 0.0000 0.0000 0.4894 (multiplicity 1)  4 Er 3.05, 4 Y 3.09

Fermi-level density of states, states/eV/f.u.: 4.102
Formation energy, eV per atom: -0.129
Energy relative to the lowest polymorph listed for this composition, meV per atom: 0
Spin magnetization, μB/atom: 0.000